1.
VASP calculation (GGA-PBE) on Rb3YW after structural relaxation.

a = 6.9532 Å, b = 6.9532 Å, c = 6.9532 Å
α = 90.00°, β = 90.00°, γ = 90.00°
Fractional coordinates of all 5 atoms:
Rb1 0.5000 0.0000 0.0000
Rb2 0.0000 0.5000 0.0000
Rb3 0.0000 0.0000 0.5000
Y1 0.5000 0.5000 0.5000
W1 0.0000 0.0000 0.0000

Properties
Formation energy ... 180 kJ/mol of atoms
ΔE to the lowest computed polymorph ... 0.0 meV/atom
Calculated density ... 2.61 g/cm3

2.
VASP calculation (GGA-PBE) on LaMgRh2W after structural relaxation.

a = 4.7913 Å, b = 5.4607 Å, c = 4.7913 Å
α = 90.00°, β = 90.00°, γ = 90.00°
Fractional coordinates of all 5 atoms:
Rh1 0.5000 0.0000 0.0000
Rh2 0.0000 0.0000 0.5000
W1 0.5000 0.5000 0.5000
Mg1 0.0000 0.5000 0.0000
La1 0.0000 0.0000 0.0000

Properties
Formation energy ... 167 kJ/mol of atoms
Calculated density ... 7.32 g/cm3

3.
VASP calculation (GGA-PBE) on ReMo2Se after structural relaxation.

a = 5.2211 Å, b = 5.2211 Å, c = 5.2211 Å
α = 138.03°, β = 138.03°, γ = 60.86°
Fractional coordinates of all 4 atoms:
Re1 0.5000 0.5000 0.0000
Mo1 0.2500 0.7500 0.5000
Mo2 0.0000 0.0000 0.0000
Se1 0.7500 0.2500 0.5000

Properties
Calculated density ... 12.05 g/cm3
VASP energy ... -8.87 eV/atom

4.
VASP calculation (GGA-PBE) on Li2TcOs after structural relaxation.

a = 4.4967 Å, b = 4.4967 Å, c = 5.1155 Å
α = 86.12°, β = 86.12°, γ = 33.74°
Fractional coordinates of all 4 atoms:
Li1 0.7551 0.7551 0.7675
Li2 0.9980 0.9980 0.9765
Tc1 0.2492 0.2492 0.2856
Os1 0.4977 0.4977 0.4704

Properties
Formation energy ... 19 kJ/mol of atoms
ΔE to the lowest computed polymorph ... 87.2 meV/atom
Calculated density ... 8.75 g/cm3